# AcCoPbF6 | Alexandria via LeMat-Bulk | PBE+U | relaxed
data_AcCoPbF6
_space_group_name_H-M_alt 'P -3 1 c'
_space_group_IT_number 163
_space_group_name_Hall '-P 3 2c'
_cell_length_a 5.7819
_cell_length_b 5.7819
_cell_length_c 11.5254
_cell_angle_alpha 90.00
_cell_angle_beta 90.00
_cell_angle_gamma 120.00
loop_
_atom_site_label
_atom_site_type_symbol
_atom_site_fract_x
_atom_site_fract_y
_atom_site_fract_z
Ac1 Ac 0.3333 0.6667 0.2500
Co1 Co 0.3333 0.6667 0.7500
Pb1 Pb 0.0000 0.0000 0.0000
F1 F 0.0287 0.3516 0.6338
# calculated total energy: -5.45 eV/atom
# total magnetization: 0.2222 μB per atom
# V: 333.68 Å³/cell
# density: 6.04 g/cm³